The following is a DFT calculation (PBE) of Al2BiBrN after structural relaxation.

SG = P4/mmm
magnetization = 0.00 μB/atom
mass density = 3.9 g cm⁻³
calculated total energy = -2.35 eV per atom

a b c (Å): 5.1879 5.1879 5.6999
angles (deg): 90.00 90.00 90.00
Sites, in units of the cell vectors:
Al  0.0000  0.5000  0.0000
Al  0.5000  0.0000  0.0000
Bi  0.0000  0.0000  0.5000
Br  0.0000  0.0000  0.0000
N  0.5000  0.5000  0.5000